Density functional theory data (GGA-PBE) for IrPdF2 after structural relaxation.

Symmetry: Fm-3m
Magnetic moment, Bohr magnetons per cell: 12.5
Formation energy (no corrections), meV per atom: 290
Excess energy over the best structure of this formula in the dataset, meV per atom: 825
Calculated volume, Å³ per atom: 13.054
ρ, Mg/m³: 10.705

POSCAR file:
```
IrPdF2
1.0
5.9332 0.0000 0.0000
0.0000 5.9332 0.0000
0.0000 0.0000 5.9332
Ir Pd F
4 4 8
direct
0.0000 0.0000 0.0000 Ir
0.0000 0.5000 0.5000 Ir
0.5000 0.0000 0.5000 Ir
0.5000 0.5000 0.0000 Ir
0.0000 0.0000 0.5000 Pd
0.0000 0.5000 0.0000 Pd
0.5000 0.0000 0.0000 Pd
0.5000 0.5000 0.5000 Pd
0.2500 0.2500 0.2500 F
0.2500 0.2500 0.7500 F
0.2500 0.7500 0.2500 F
0.2500 0.7500 0.7500 F
0.7500 0.2500 0.2500 F
0.7500 0.2500 0.7500 F
0.7500 0.7500 0.2500 F
0.7500 0.7500 0.7500 F
```

Density functional theory data (GGA-PBE) for Ir3PdF after structural relaxation.

Symmetry: Pm-3m
Magnetic moment, Bohr magnetons per cell: 2.6
Formation energy (no corrections), meV per atom: 1341
Excess energy over the best structure of this formula in the dataset, meV per atom: 0
Calculated volume, Å³ per atom: 15.404
ρ, Mg/m³: 15.136

POSCAR file:
```
Ir3PdF
1.0
4.2547 0.0000 0.0000
0.0000 4.2547 0.0000
0.0000 0.0000 4.2547
Ir Pd F
3 1 1
direct
0.0000 0.0000 0.5000 Ir
0.0000 0.5000 0.0000 Ir
0.5000 0.0000 0.0000 Ir
0.5000 0.5000 0.5000 Pd
0.0000 0.0000 0.0000 F
```

Density functional theory data (GGA-PBE) for IrPd2F after structural relaxation.

Symmetry: I-42d
Magnetic moment, Bohr magnetons per cell: 0.0
Formation energy (no corrections), meV per atom: 332
Excess energy over the best structure of this formula in the dataset, meV per atom: 115
Calculated volume, Å³ per atom: 15.202
ρ, Mg/m³: 11.580

POSCAR file:
```
IrPd2F
1.0
6.4695 0.0000 0.0000
0.0000 6.4695 0.0000
0.0000 0.0000 5.8113
Ir Pd F
4 8 4
direct
0.0000 0.0000 0.0000 Ir
0.0000 0.5000 0.2500 Ir
0.5000 0.0000 0.7500 Ir
0.5000 0.5000 0.5000 Ir
0.2221 0.7500 0.6250 Pd
0.2500 0.2221 0.3750 Pd
0.2500 0.2779 0.8750 Pd
0.2779 0.7500 0.1250 Pd
0.7221 0.2500 0.1250 Pd
0.7500 0.7221 0.8750 Pd
0.7500 0.7779 0.3750 Pd
0.7779 0.2500 0.6250 Pd
0.0000 0.0000 0.5000 F
0.0000 0.5000 0.7500 F
0.5000 0.0000 0.2500 F
0.5000 0.5000 0.0000 F
```

Question: Look up the magnetic moment of the second one.
Answer: 2.6 Bohr magnetons per cell

Question: Which value of calculated volume does entry 3 give?
Answer: 15.202 Å³ per atom

Question: Number 2 is which compound?
Answer: Ir3PdF